Record 1
# Y2TmGa2Rh5

Y2TmGa2Rh5 after structural relaxation (PBE, Alexandria).

Cell: 3.5802 10.0282 10.0282 Å, 90.00 90.00 90.00°
Positions (direct):
Y: 0.0000 0.6732 0.1732
Y: 0.0000 0.3268 0.8268
Y: 0.0000 0.1732 0.3268
Y: 0.0000 0.8268 0.6732
Tm: 0.0000 0.0000 0.0000
Tm: 0.0000 0.5000 0.5000
Ga: 0.0000 0.1233 0.6233
Ga: 0.0000 0.8767 0.3767
Ga: 0.0000 0.6233 0.8767
Ga: 0.0000 0.3767 0.1233
Rh: 0.5000 0.2111 0.0703
Rh: 0.5000 0.7889 0.9297
Rh: 0.5000 0.0703 0.7889
Rh: 0.5000 0.7111 0.4297
Rh: 0.5000 0.9297 0.2111
Rh: 0.5000 0.2889 0.5703
Rh: 0.5000 0.5703 0.7111
Rh: 0.5000 0.4297 0.2889
Rh: 0.5000 0.5000 0.0000
Rh: 0.5000 0.0000 0.5000

Formation enthalpy at 0 K (meV per atom): -849
ρ (Mg/m³): 9.231

***

Record 2
# TlClF

TlClF after structural relaxation (PBE, Alexandria).

Cell: 5.1387 4.0638 4.0638 Å, 120.00 90.00 90.00°
Positions (direct):
Tl: 0.0585 0.0000 0.0000
F: 0.2051 0.3333 0.6667
Cl: 0.7364 0.6667 0.3333

Formation energy (no corrections) (meV/atom): -1118
ρ (Mg/m³): 5.848
Energy above the most stable polymorph in this dataset (meV/atom): 210

***

Record 3
# Pr3Al2SnPd9

Pr3Al2SnPd9 after structural relaxation (PBE, Alexandria).

Cell: 6.5269 6.5269 9.2067 Å, 90.00 90.00 120.00°
Positions (direct):
Pr: 0.3333 0.6667 0.7226
Pr: 0.0000 0.0000 0.0000
Pr: 0.6667 0.3333 0.2774
Al: 0.3333 0.6667 0.1733
Al: 0.6667 0.3333 0.8267
Sn: 0.0000 0.0000 0.5000
Pd: 0.8579 0.1421 0.7304
Pd: 0.8579 0.7158 0.7304
Pd: 0.2842 0.1421 0.7304
Pd: 0.7158 0.8579 0.2696
Pd: 0.1421 0.2842 0.2696
Pd: 0.1421 0.8579 0.2696
Pd: 0.5000 0.0000 0.0000
Pd: 0.0000 0.5000 0.0000
Pd: 0.5000 0.5000 0.0000

Formation enthalpy at 0 K (meV per atom): -560
ρ (Mg/m³): 7.593

***

Record 4
# Pr2InRh

Pr2InRh after structural relaxation (PBE, Alexandria).

Cell: 3.6641 3.6641 7.8349 Å, 90.00 90.00 90.00°
Positions (direct):
Pr: 0.0000 0.0000 0.7826
Pr: 0.0000 0.0000 0.2174
Rh: 0.5000 0.5000 0.0000
In: 0.5000 0.5000 0.5000

Formation enthalpy at 0 K (meV per atom): -526
ρ (Mg/m³): 7.886
Energy above the most stable polymorph in this dataset (meV/atom): 30

***

Record 5
# TlCr2As

TlCr2As after structural relaxation (PBE, Alexandria).

Cell: 3.5065 3.5065 7.4199 Å, 76.32 76.32 60.06°
Last column: magnetic moment on the atom in μB.
Positions (direct):
As: 0.2500 0.2500 0.2500  -0.18
Cr: 0.9831 0.9831 0.0499  3.00
Cr: 0.5169 0.5169 0.4501  3.00
Tl: 0.7500 0.7500 0.7500  -0.09

Formation enthalpy at 0 K (meV per atom): 331
ρ (Mg/m³): 8.369
Energy above the most stable polymorph in this dataset (meV/atom): 71

***

Record 6
# AcCd11Ge

AcCd11Ge after structural relaxation (PBE, Alexandria).

Cell: 5.9863 7.7090 7.8411 Å, 81.18 67.56 66.31°
Positions (direct):
Ac: 0.0000 0.0000 0.0000
Cd: 0.2812 0.2149 0.2146
Cd: 0.7188 0.7851 0.7854
Cd: 0.5041 0.7851 0.2146
Cd: 0.4959 0.2149 0.7854
Cd: 0.3620 0.6445 0.6456
Cd: 0.6380 0.3555 0.3544
Cd: 0.9924 0.3555 0.6456
Cd: 0.0076 0.6445 0.3544
Cd: 0.0000 0.5000 0.0000
Cd: 0.5000 0.0000 0.5000
Cd: 0.0000 0.0000 0.5000
Ge: 0.5000 0.5000 0.0000

Formation enthalpy at 0 K (meV per atom): -96
ρ (Mg/m³): 8.329

***

Record 7
# Rb2MoAuI6

Rb2MoAuI6 after structural relaxation (PBE, Alexandria).

Cell: 8.2738 8.2738 8.2533 Å, 59.92 59.92 90.00°
Last column: magnetic moment on the atom in μB.
Positions (direct):
I: 0.2560 0.2560 0.4880  0.01
I: 0.7440 0.7440 0.5120  0.01
I: 0.2575 0.2575 0.0000  0.01
I: 0.7425 0.7425 0.0000  0.01
I: 0.7425 0.2575 0.0000  0.00
I: 0.2575 0.7425 0.0000  0.00
Mo: 0.5000 0.5000 0.0000  2.47
Au: 0.0000 0.0000 0.0000  -0.01
Rb: 0.7500 0.2500 0.5000  0.00
Rb: 0.2500 0.7500 0.5000  0.00

Formation energy (no corrections) (meV/atom): -569
ρ (Mg/m³): 5.106

***

Record 8
# DyTmAlFe

DyTmAlFe after structural relaxation (PBE, Alexandria).

Cell: 4.9332 4.9332 4.9332 Å, 60.00 60.00 60.00°
Last column: magnetic moment on the atom in μB.
Positions (direct):
Al: 0.2500 0.2500 0.2500  -0.01
Tm: 0.5000 0.5000 0.5000  -0.27
Fe: 0.7500 0.7500 0.7500  1.86
Dy: 0.0000 0.0000 0.0000  -0.24

Formation enthalpy at 0 K (meV per atom): -89
ρ (Mg/m³): 8.103

***

Record 9
# Li4ZnGa5

Li4ZnGa5 after structural relaxation (PBE, Alexandria).

Cell: 4.1333 9.3107 6.6533 Å, 128.51 108.10 90.00°
Positions (direct):
Li: 0.3669 0.1299 0.7338
Li: 0.1012 0.3454 0.2024
Li: 0.6331 0.8701 0.2662
Li: 0.8988 0.6546 0.7976
Zn: 0.5000 0.0000 0.0000
Ga: 0.8093 0.2847 0.6185
Ga: 0.8672 0.9475 0.7344
Ga: 0.1328 0.0525 0.2656
Ga: 0.5000 0.5000 0.0000
Ga: 0.1907 0.7153 0.3815

Formation enthalpy at 0 K (meV per atom): -128
ρ (Mg/m³): 3.990
Energy above the most stable polymorph in this dataset (meV/atom): 80

***

Record 10
# MnB2Mo2

MnB2Mo2 after structural relaxation (PBE, Alexandria).

Cell: 5.7915 5.7915 3.1322 Å, 90.00 90.00 90.00°
Positions (direct):
Mo: 0.1770 0.6770 0.5000
Mo: 0.6770 0.8230 0.5000
Mo: 0.8230 0.3230 0.5000
Mo: 0.3230 0.1770 0.5000
Mn: 0.0000 0.0000 0.0000
Mn: 0.5000 0.5000 0.0000
B: 0.3856 0.8856 0.0000
B: 0.8856 0.6144 0.0000
B: 0.6144 0.1144 0.0000
B: 0.1144 0.3856 0.0000

Formation enthalpy at 0 K (meV per atom): -416
ρ (Mg/m³): 8.486

***

Record 11
# Ba2MgH

Ba2MgH after structural relaxation (PBE, Alexandria).

Cell: 4.2822 4.2822 9.2768 Å, 76.66 76.66 60.00°
Last column: magnetic moment on the atom in μB.
Positions (direct):
H: 0.0000 0.0000 0.0000  0.00
Mg: 0.5000 0.5000 0.5000  0.01
Ba: 0.2714 0.2714 0.1857  0.15
Ba: 0.7286 0.7286 0.8143  0.15

ρ (Mg/m³): 3.508
Energy above the most stable polymorph in this dataset (meV/atom): 49

***

Record 12
# LaZn5Ru2

LaZn5Ru2 after structural relaxation (PBE, Alexandria).

Cell: 4.0513 6.3433 6.3433 Å, 74.11 71.38 71.38°
Positions (direct):
La: 0.0000 0.0000 0.0000
Zn: 0.0000 0.5000 0.5000
Zn: 0.6622 0.5156 0.1599
Zn: 0.3378 0.4844 0.8401
Zn: 0.3378 0.8401 0.4844
Zn: 0.6622 0.1599 0.5156
Ru: 0.7313 0.7687 0.7687
Ru: 0.2687 0.2313 0.2313

Formation enthalpy at 0 K (meV per atom): -144
ρ (Mg/m³): 7.721

***

Record 13
# CrFe4Sb

CrFe4Sb after structural relaxation (PBE, Alexandria).

Cell: 4.8005 4.8005 4.8005 Å, 60.00 60.00 60.00°
Last column: magnetic moment on the atom in μB.
Positions (direct):
Cr: 0.0000 0.0000 0.0000  1.89
Fe: 0.8781 0.3740 0.3740  1.94
Fe: 0.3740 0.3740 0.8781  1.94
Fe: 0.3740 0.8781 0.3740  1.94
Fe: 0.3740 0.3740 0.3740  1.94
Sb: 0.7500 0.7500 0.7500  -0.04

Formation energy (no corrections) (meV/atom): 235
ρ (Mg/m³): 8.430

***

Record 14
# AcSm3Er8

AcSm3Er8 after structural relaxation (PBE, Alexandria).

Cell: 8.7467 8.7467 8.7467 Å, 98.46 137.56 96.60°
Positions (direct):
Ac: 0.0000 0.0000 0.0000
Sm: 0.5000 0.7416 0.2416
Sm: 0.5000 0.2584 0.7584
Sm: 0.0000 0.5000 0.5000
Er: 0.5067 0.2603 0.2466
Er: 0.4933 0.7399 0.7536
Er: 0.9863 0.7397 0.2464
Er: 0.0137 0.2601 0.7534
Er: 0.1768 0.4283 0.2510
Er: 0.8232 0.0742 0.2515
Er: 0.8227 0.5717 0.7485
Er: 0.1773 0.9258 0.7490

Formation enthalpy at 0 K (meV per atom): 312
ρ (Mg/m³): 7.954

***

Record 15
# BaCd2NiHg

BaCd2NiHg after structural relaxation (PBE, Alexandria).

Cell: 5.1394 5.1394 5.6796 Å, 90.00 90.00 90.00°
Positions (direct):
Ni: 0.0000 0.0000 0.0000
Cd: 0.0000 0.5000 0.0000
Cd: 0.5000 0.0000 0.0000
Hg: 0.5000 0.5000 0.5000
Ba: 0.0000 0.0000 0.5000

Formation enthalpy at 0 K (meV per atom): -97
ρ (Mg/m³): 6.879
Energy above the most stable polymorph in this dataset (meV/atom): 104

***

Record 16
# HgAsRh

HgAsRh after structural relaxation (PBE, Alexandria).

Cell: 3.2834 3.2834 6.4082 Å, 90.00 90.00 120.00°
Positions (direct):
As: 0.0000 0.0000 0.9359
Rh: 0.6667 0.3333 0.7035
Hg: 0.3333 0.6667 0.3606

Formation enthalpy at 0 K (meV per atom): -165
ρ (Mg/m³): 10.503
Energy above the most stable polymorph in this dataset (meV/atom): 0

***

Record 17
# Ca2MgZr

Ca2MgZr after structural relaxation (PBE, Alexandria).

Cell: 8.6807 8.6807 6.9581 Å, 51.41 51.41 90.00°
Last column: magnetic moment on the atom in μB.
Positions (direct):
Ca: 0.6087 0.1250 0.2500  0.08
Ca: 0.1413 0.6250 0.2500  0.08
Ca: 0.3750 0.3913 0.7500  0.08
Ca: 0.8750 0.8587 0.7500  0.07
Mg: 0.5000 0.5000 0.0000  0.00
Mg: 0.2500 0.7500 0.5000  0.00
Zr: 0.0000 0.0000 0.0000  0.90
Zr: 0.7500 0.2500 0.5000  0.91

Formation enthalpy at 0 K (meV per atom): 584
ρ (Mg/m³): 2.632

***

Record 18
# SmHoCu4

SmHoCu4 after structural relaxation (PBE, Alexandria).

Cell: 4.3028 5.4891 5.4891 Å, 77.99 66.92 66.92°
Positions (direct):
Sm: 0.5444 0.4556 0.4556
Ho: 0.4593 0.0407 0.0407
Cu: 0.1638 0.6400 0.0325
Cu: 0.8344 0.8658 0.4654
Cu: 0.8344 0.4654 0.8658
Cu: 0.1638 0.0325 0.6400

Formation enthalpy at 0 K (meV per atom): -255
ρ (Mg/m³): 8.636
Energy above the most stable polymorph in this dataset (meV/atom): 0

***

Record 19
# Zr2BeS

Zr2BeS after structural relaxation (PBE, Alexandria).

Cell: 4.5495 4.5495 4.5495 Å, 60.00 60.00 60.00°
Positions (direct):
Be: 0.0000 0.0000 0.0000
S: 0.5000 0.5000 0.5000
Zr: 0.2500 0.2500 0.2500
Zr: 0.7500 0.7500 0.7500

Formation energy (no corrections) (meV/atom): -324
ρ (Mg/m³): 5.574
Energy above the most stable polymorph in this dataset (meV/atom): 511

***

Record 20
# VAg2Ru

VAg2Ru after structural relaxation (PBE, Alexandria).

Cell: 4.5078 4.5078 4.5078 Å, 60.00 60.00 60.00°
Last column: magnetic moment on the atom in μB.
Positions (direct):
Ru: 0.5000 0.5000 0.5000  -0.91
Ag: 0.2500 0.2500 0.2500  0.01
Ag: 0.7500 0.7500 0.7500  0.01
V: 0.0000 0.0000 0.0000  2.09

Formation enthalpy at 0 K (meV per atom): 625
ρ (Mg/m³): 9.428
Energy above the most stable polymorph in this dataset (meV/atom): 665